# 1
Density functional theory data (meta-GGA SCAN) for LiCu2Ge2 at its PBEsol-relaxed geometry.

Calculated values
As for the energy relative to the lowest polymorph listed for this composition: 0.0 meV per atom. Its final energy is -71.4 eV per cell. Its formation energy is -0.09 eV/atom. For the volume, the calculation gives 77.3 Å³/cell. For the density of states at the Fermi level, the calculation gives 1.96 states/eV per cell.

Unit cell a=6.0006 b=6.0006 c=6.0006 alpha=143.13 beta=143.13 gamma=53.12
With the nearest neighbours (Å) after each atom.
Fractional positions:
1 Li 0.0000 0.0000 0.0000  8 Ge 2.94, 8 Cu 3.29
2 Cu 0.2500 0.7500 0.5000  4 Ge 2.41, 4 Cu 2.68
3 Cu 0.7500 0.2500 0.5000  4 Ge 2.41, 4 Cu 2.68
4 Ge 0.3880 0.3880 0.0000  1 Ge 2.40, 4 Cu 2.41
5 Ge 0.6120 0.6120 0.0000  1 Ge 2.40, 4 Cu 2.41

# 2
Density functional theory data (meta-GGA SCAN) for Li2Cu3Ge at its PBEsol-relaxed geometry.

Calculated values
Its final energy is -70.7 eV per cell. Its formation energy is -0.21 eV/atom. For the volume, the calculation gives 81.3 Å³/cell. For the density of states at the Fermi level, the calculation gives 1.80 states/eV per cell.

Unit cell a=4.7990 b=4.7990 c=4.7990 alpha=61.83 beta=61.83 gamma=61.83
With the nearest neighbours (Å) after each atom.
Fractional positions:
1 Li 0.1264 0.1264 0.1264  9 Cu 2.79-2.87, 3 Ge 2.88, 4 Li 2.93-3.00
2 Li 0.8736 0.8736 0.8736  9 Cu 2.79-2.87, 3 Ge 2.88, 4 Li 2.93-3.00
3 Cu 0.0000 0.5000 0.5000  2 Ge 2.40, 4 Cu 2.47
4 Cu 0.5000 0.0000 0.5000  2 Ge 2.40, 4 Cu 2.47
5 Cu 0.5000 0.5000 0.0000  2 Ge 2.40, 4 Cu 2.47
6 Ge 0.5000 0.5000 0.5000  6 Cu 2.40

# 3
Density functional theory data (meta-GGA SCAN) for Li2CuGe2 at its PBEsol-relaxed geometry.

Calculated values
Its final energy is -118.7 eV per cell. Its formation energy is -0.24 eV/atom. For the volume, the calculation gives 156.5 Å³/cell. For the density of states at the Fermi level, the calculation gives 2.77 states/eV per cell.

Unit cell a=6.1443 b=6.1443 c=4.1446 alpha=90.00 beta=90.00 gamma=90.00
With the nearest neighbours (Å) after each atom.
Fractional positions:
1 Li 0.1626 0.3374 0.0000  6 Ge 2.68-2.79, 1 Li 2.83
2 Li 0.3374 0.8374 0.0000  6 Ge 2.68-2.79, 1 Li 2.83
3 Li 0.6626 0.1626 0.0000  6 Ge 2.68-2.79, 1 Li 2.83
4 Li 0.8374 0.6626 0.0000  6 Ge 2.68-2.79, 1 Li 2.83
5 Cu 0.0000 0.0000 0.5000  4 Ge 2.37
6 Cu 0.5000 0.5000 0.5000  4 Ge 2.37
7 Ge 0.1411 0.6411 0.5000  2 Cu 2.37, 1 Ge 2.45
8 Ge 0.3589 0.1411 0.5000  2 Cu 2.37, 1 Ge 2.45
9 Ge 0.6411 0.8589 0.5000  2 Cu 2.37, 1 Ge 2.45
10 Ge 0.8589 0.3589 0.5000  2 Cu 2.37, 1 Ge 2.45

# 4
Density functional theory data (meta-GGA SCAN) for RbLiCuGe2 at its PBEsol-relaxed geometry.

Calculated values
Its final energy is -75.8 eV per cell. Its formation energy is 0.13 eV/atom. For the volume, the calculation gives 113.7 Å³/cell. For the density of states at the Fermi level, the calculation gives 3.12 states/eV per cell.

Unit cell a=4.7079 b=4.7079 c=5.1287 alpha=90.00 beta=90.00 gamma=90.00
With the nearest neighbours (Å) after each atom.
Fractional positions:
1 Rb 0.0000 0.0000 0.0000  4 Li 3.33, 8 Ge 3.48
2 Li 0.5000 0.5000 0.0000  2 Cu 2.56
3 Cu 0.5000 0.5000 0.5000  4 Ge 2.35, 2 Li 2.56
4 Ge 0.0000 0.5000 0.5000  2 Cu 2.35
5 Ge 0.5000 0.0000 0.5000  2 Cu 2.35

# 5
Density functional theory data (meta-GGA SCAN) for Li2CuGeW at its PBEsol-relaxed geometry.

Calculated values
Its final energy is -100.4 eV per cell. Its formation energy is 1.67 eV/atom. For the volume, the calculation gives 105.4 Å³/cell. For the density of states at the Fermi level, the calculation gives 2.49 states/eV per cell.

Unit cell a=4.7947 b=4.7947 c=4.5854 alpha=90.00 beta=90.00 gamma=90.00
With the nearest neighbours (Å) after each atom.
Fractional positions:
1 Li 0.0000 0.5000 0.0000  2 W 2.40
2 Li 0.5000 0.0000 0.0000  2 W 2.40
3 Cu 0.0000 0.0000 0.5000  2 W 2.29
4 Ge 0.5000 0.5000 0.5000  8 Li 3.32, 4 Cu 3.39
5 W 0.0000 0.0000 0.0000  2 Cu 2.29, 4 Li 2.40

# 6
Density functional theory data (meta-GGA SCAN) for Mg2CuGe2 at its PBEsol-relaxed geometry.

Calculated values
Its final energy is -127.7 eV per cell. Its formation energy is -0.11 eV/atom. For the volume, the calculation gives 174.5 Å³/cell. For the density of states at the Fermi level, the calculation gives 3.75 states/eV per cell.

Unit cell a=6.4248 b=6.4248 c=4.2267 alpha=90.00 beta=90.00 gamma=90.00
With the nearest neighbours (Å) after each atom.
Fractional positions:
1 Mg 0.1718 0.3282 0.0000  6 Ge 2.71-2.93
2 Mg 0.3282 0.8282 0.0000  6 Ge 2.71-2.93
3 Mg 0.6718 0.1718 0.0000  6 Ge 2.71-2.93
4 Mg 0.8282 0.6718 0.0000  6 Ge 2.71-2.93
5 Cu 0.0000 0.0000 0.5000  4 Ge 2.47
6 Cu 0.5000 0.5000 0.5000  4 Ge 2.47
7 Ge 0.1421 0.6421 0.5000  2 Cu 2.47, 1 Ge 2.58, 2 Mg 2.71
8 Ge 0.3579 0.1421 0.5000  2 Cu 2.47, 1 Ge 2.58, 2 Mg 2.71
9 Ge 0.6421 0.8579 0.5000  2 Cu 2.47, 1 Ge 2.58, 2 Mg 2.71
10 Ge 0.8579 0.3579 0.5000  2 Cu 2.47, 1 Ge 2.58, 2 Mg 2.71